# Ge3WF | Alexandria | GGA+U | relaxed
data_Ge3WF
_cell_length_a 4.4951
_cell_length_b 4.4951
_cell_length_c 4.4951
_cell_angle_alpha 90.00
_cell_angle_beta 90.00
_cell_angle_gamma 90.00
_symmetry_space_group_name_H-M 'P m -3 m'
_symmetry_Int_Tables_number 221
_symmetry_space_group_name_Hall '-P 4 2 3'
loop_
_atom_site_label
_atom_site_type_symbol
_atom_site_fract_x
_atom_site_fract_y
_atom_site_fract_z
Ge1 Ge 0.0000 0.0000 0.5000
W1 W 0.5000 0.5000 0.5000
F1 F 0.0000 0.0000 0.0000
# Energy above the most stable polymorph in this dataset in meV per atom: 123
# DFT total energy in eV per atom: -4.21